Entry 1:
Crystalline PPtNO2 at its relaxed geometry, computed with GGA-PBE.

a = 4.0467 Å, b = 4.0467 Å, c = 3.7905 Å
α = 90.00°, β = 90.00°, γ = 90.00°
Fractional coordinates of all 5 atoms:
P 0.0000 0.0000 0.0000
Pt 0.5000 0.5000 0.5000
N 0.5000 0.5000 0.0000
O 0.0000 0.5000 0.5000
O 0.5000 0.0000 0.5000

Properties
Formation energy (no corrections)   0.96 eV per atom

***

Entry 2:
Crystalline PPtNO2 at its relaxed geometry, computed with GGA-PBE.

a = 3.7191 Å, b = 3.7191 Å, c = 5.2732 Å
α = 90.00°, β = 90.00°, γ = 90.00°
Fractional coordinates of all 5 atoms:
P 0.0000 0.0000 0.0000
Pt 0.0000 0.0000 0.5000
N 0.5000 0.5000 0.0000
O 0.0000 0.5000 0.5000
O 0.5000 0.0000 0.5000

Properties
Formation energy (no corrections)   1.12 eV per atom

***

Entry 3:
Crystalline P2PtNO at its relaxed geometry, computed with GGA-PBE.

a = 4.0949 Å, b = 4.0949 Å, c = 4.0342 Å
α = 90.00°, β = 90.00°, γ = 90.00°
Fractional coordinates of all 5 atoms:
P 0.0000 0.5000 0.0000
P 0.5000 0.0000 0.0000
Pt 0.0000 0.0000 0.5000
N 0.0000 0.0000 0.0000
O 0.5000 0.5000 0.5000

Properties
Relative energy among the computed polymorphs   0.361 eV/atom
Formation energy (no corrections)   1.19 eV per atom

***

Q: Which of these has the highest formation energy (no corrections)?
A: P2PtNO

***

Q: formation energy (no corrections) of number 2 (PPtNO2)?
A: 1.12 eV per atom

***

Q: The lowest formation energy (no corrections) belongs to which entry?
A: number 1

***

Q: Among the records above, which one has the lowest formation energy (no corrections)?
A: number 1